Below is an optimized crystal structure of LaCdOs, with properties calculated at the PBE level.

Output
Magnetic moment ... 0.05 μB per formula unit
DFT formation energy ... 0.979 eV/atom
VASP energy ... -4.702 eV per atom

Cell lengths 6.893, 6.893, 6.893 Å; angles 90.00, 90.00, 90.00 degrees
Positions (direct):
La 0.000 0.000 0.000
La 0.000 0.500 0.500
La 0.500 0.000 0.500
La 0.500 0.500 0.000
Cd 0.250 0.250 0.750
Cd 0.250 0.750 0.250
Cd 0.750 0.250 0.250
Cd 0.750 0.750 0.750
Os 0.250 0.250 0.250
Os 0.250 0.750 0.750
Os 0.750 0.250 0.750
Os 0.750 0.750 0.250

---

Below is an optimized crystal structure of LaCdPb, with properties calculated at the PBE level.

Output
Magnetic moment ... 0.00 μB per formula unit
VASP energy ... -3.287 eV per atom

Cell lengths 7.486, 7.486, 7.486 Å; angles 90.00, 90.00, 90.00 degrees
Positions (direct):
La 0.000 0.000 0.000
La 0.000 0.500 0.500
La 0.500 0.000 0.500
La 0.500 0.500 0.000
Cd 0.250 0.250 0.750
Cd 0.250 0.750 0.250
Cd 0.750 0.250 0.250
Cd 0.750 0.750 0.750
Pb 0.250 0.250 0.250
Pb 0.250 0.750 0.750
Pb 0.750 0.250 0.750
Pb 0.750 0.750 0.250

---

Below is an optimized crystal structure of La2Cd2Pb3, with properties calculated at the PBE level.

Output
Magnetic moment ... 0.01 μB per formula unit
VASP energy ... -3.489 eV per atom

Cell lengths 9.365, 9.365, 9.365 Å; angles 33.10, 33.10, 33.10 degrees
Positions (direct):
La 0.000 0.000 0.000
La 0.498 0.498 0.498
Cd 0.242 0.242 0.242
Cd 0.751 0.751 0.751
Pb 0.378 0.378 0.378
Pb 0.623 0.623 0.623
Pb 0.870 0.870 0.870

---

Below is an optimized crystal structure of LaCdPb, with properties calculated at the PBE level.

Output
Magnetic moment ... 0.00 μB per formula unit
VASP energy ... -3.477 eV per atom

Cell lengths 7.251, 7.251, 7.251 Å; angles 90.00, 90.00, 90.00 degrees
Positions (direct):
La 0.000 0.000 0.000
La 0.000 0.500 0.500
La 0.500 0.000 0.500
La 0.500 0.500 0.000
Cd 0.250 0.250 0.250
Cd 0.250 0.750 0.750
Cd 0.750 0.250 0.750
Cd 0.750 0.750 0.250
Pb 0.000 0.000 0.500
Pb 0.000 0.500 0.000
Pb 0.500 0.000 0.000
Pb 0.500 0.500 0.500

---

Below is an optimized crystal structure of LaCdPbSe3, with properties calculated at the PBE level.

Output
Magnetic moment ... 0.01 μB per formula unit
VASP energy ... -4.291 eV per atom

Cell lengths 7.282, 7.282, 11.143 Å; angles 90.00, 90.00, 144.99 degrees
Positions (direct):
La 0.000 0.000 0.000
La 0.000 0.000 0.500
Cd 0.475 0.525 0.750
Cd 0.525 0.475 0.250
Pb 0.221 0.779 0.250
Pb 0.779 0.221 0.750
Se 0.097 0.903 0.750
Se 0.356 0.644 0.556
Se 0.356 0.644 0.944
Se 0.644 0.356 0.056
Se 0.644 0.356 0.444
Se 0.903 0.097 0.250

---

Below is an optimized crystal structure of LaCdTe3Pb, with properties calculated at the PBE level.

Output
Magnetic moment ... 0.01 μB per formula unit
VASP energy ... -3.912 eV per atom

Cell lengths 7.809, 7.809, 11.636 Å; angles 90.00, 90.00, 145.90 degrees
Positions (direct):
La 0.000 0.000 0.000
La 0.000 0.000 0.500
Cd 0.479 0.521 0.750
Cd 0.521 0.479 0.250
Te 0.103 0.897 0.750
Te 0.352 0.648 0.557
Te 0.352 0.648 0.943
Te 0.648 0.352 0.057
Te 0.648 0.352 0.443
Te 0.897 0.103 0.250
Pb 0.209 0.791 0.250
Pb 0.791 0.209 0.750